Re2OsSe2 GGA-PBE relaxed; total magnetic moment = 0.00 μB per formula unit; raw formation energy = 1199 meV per atom; volume = 17.0 A^3/atom
1.0
-2.1662 2.1662 4.5310
2.1662 -2.1662 4.5310
2.1662 2.1662 -4.5310
Se Re Os
2 2 1
Cartesian
0.0000 0.0000 3.3480
0.0000 0.0000 5.7141
0.0000 2.1662 2.2655
2.1662 0.0000 2.2655
0.0000 0.0000 0.0000

=====

RbLiBAu2 GGA-PBE relaxed; total magnetic moment = 1.00 μB per formula unit; excess energy over the best structure of this formula in the dataset = 819 kJ/mol of formula units; volume = 42.6 A^3/atom
1.0
6.0411 0.0000 0.0000
0.0000 5.8346 0.0000
0.0000 0.0000 6.0411
Au Rb B Li
2 1 1 1
Cartesian
3.0206 0.0000 0.0000
0.0000 0.0000 3.0206
0.0000 0.0000 0.0000
3.0206 2.9173 3.0206
0.0000 2.9173 0.0000

=====

Tb7Sm4Sc GGA-PBE relaxed; total magnetic moment = 0.35 μB per formula unit; excess energy over the best structure of this formula in the dataset = 106 kJ/mol of formula units; volume = 32.4 A^3/atom
1.0
-2.5548 4.0156 2.4304
-11.1091 0.8669 -7.2349
-2.9795 -1.5577 5.3172
Sm Tb Sc
4 7 1
Cartesian
-6.7036 0.4670 3.9325
-5.1805 2.7338 1.7882
-11.4629 0.5911 -1.2755
-9.9398 2.8579 -3.4199
-1.2774 2.0078 1.2152
-7.4470 2.8167 -0.7313
-5.8531 -0.3641 0.3242
-10.7903 3.6889 0.1884
-13.3885 3.4609 -2.1660
-3.2549 -0.1360 2.6786
-9.1965 0.5081 1.2440
0.0000 0.0000 0.0000

=====

Record order is preserved below.
Electronic total energy: -0.5453, -0.1075, -0.3389 Ry/atom